An optimized crystal structure of Na2RuO4. Source: Alexandria, functional PBE.

Output
Mass density   3.8 g/cm³
Distance to the lowest polymorph of the same formula   0.0 kJ/mol of formula units
Space-group type   P2_1/c (14)
E_form (uncorrected)   -1277 meV/atom

abc: 7.134 10.850 11.086
angles: 119.48 90.00 90.00
Each line ends with the local moment (μB).
Positions (direct):
1 Na 0.457 0.695 0.590  0.00
2 Na 0.957 0.305 0.910  0.00
3 Na 0.543 0.305 0.410  0.00
4 Na 0.043 0.695 0.090  0.00
5 Na 0.585 0.648 0.076  0.01
6 Na 0.085 0.352 0.424  0.01
7 Na 0.415 0.352 0.924  0.01
8 Na 0.915 0.648 0.576  0.01
9 Na 0.518 0.816 0.915  0.00
10 Na 0.018 0.184 0.585  0.00
11 Na 0.482 0.184 0.085  0.00
12 Na 0.982 0.816 0.415  0.00
13 Na 0.003 0.843 0.898  0.01
14 Na 0.503 0.157 0.602  0.01
15 Na 0.997 0.157 0.102  0.01
16 Na 0.497 0.843 0.398  0.01
17 Ru 0.249 0.500 0.750  1.15
18 Ru 0.749 0.500 0.750  1.15
19 Ru 0.751 0.500 0.250  1.15
20 Ru 0.251 0.500 0.250  1.15
21 Ru 0.226 0.998 0.751  1.15
22 Ru 0.726 0.002 0.749  1.15
23 Ru 0.774 0.002 0.249  1.15
24 Ru 0.274 0.998 0.251  1.15
25 O 0.138 0.834 0.613  0.18
26 O 0.638 0.166 0.887  0.18
27 O 0.862 0.166 0.387  0.18
28 O 0.362 0.834 0.113  0.18
29 O 0.645 0.516 0.611  0.20
30 O 0.145 0.484 0.889  0.20
31 O 0.355 0.484 0.389  0.20
32 O 0.855 0.516 0.111  0.20
33 O 0.273 0.673 0.767  0.15
34 O 0.773 0.327 0.733  0.15
35 O 0.727 0.327 0.233  0.15
36 O 0.227 0.673 0.267  0.15
37 O 0.316 0.991 0.898  0.19
38 O 0.816 0.009 0.602  0.19
39 O 0.684 0.009 0.102  0.19
40 O 0.184 0.991 0.398  0.19
41 O 0.724 0.837 0.753  0.13
42 O 0.224 0.163 0.747  0.13
43 O 0.276 0.163 0.247  0.13
44 O 0.776 0.837 0.253  0.13
45 O 0.693 0.662 0.407  0.14
46 O 0.193 0.338 0.093  0.14
47 O 0.307 0.338 0.593  0.14
48 O 0.807 0.662 0.907  0.14
49 O 0.005 0.512 0.340  0.10
50 O 0.505 0.488 0.160  0.10
51 O 0.995 0.488 0.660  0.10
52 O 0.495 0.512 0.840  0.10
53 O 0.475 0.950 0.649  0.09
54 O 0.975 0.050 0.851  0.09
55 O 0.525 0.050 0.351  0.09
56 O 0.025 0.950 0.149  0.09

An optimized crystal structure of Na2RuO3. Source: Alexandria, functional PBE.

Output
Mass density   4.6 g/cm³
Distance to the lowest polymorph of the same formula   2.6 kJ/mol of formula units
Space-group type   C2/c (15)
E_form (uncorrected)   -1301 meV/atom

abc: 5.487 5.487 10.871
angles: 85.06 85.06 119.99
Each line ends with the local moment (μB).
Positions (direct):
1 Na 0.915 0.085 0.750  0.01
2 Na 0.320 0.160 0.500  0.00
3 Na 0.160 0.320 0.000  0.00
4 Na 0.840 0.680 0.000  0.00
5 Na 0.500 0.000 0.000  0.00
6 Na 0.680 0.840 0.500  0.00
7 Na 0.085 0.915 0.250  0.01
8 Na 0.000 0.500 0.500  0.00
9 Ru 0.418 0.582 0.250  1.43
10 Ru 0.248 0.752 0.750  1.44
11 Ru 0.582 0.418 0.750  1.43
12 Ru 0.752 0.248 0.250  1.44
13 O 0.879 0.420 0.852  0.14
14 O 0.681 0.510 0.352  0.15
15 O 0.319 0.490 0.648  0.15
16 O 0.951 0.752 0.646  0.13
17 O 0.490 0.319 0.148  0.15
18 O 0.121 0.580 0.148  0.14
19 O 0.248 0.049 0.854  0.13
20 O 0.420 0.879 0.352  0.14
21 O 0.580 0.121 0.648  0.14
22 O 0.049 0.248 0.354  0.13
23 O 0.510 0.681 0.852  0.15
24 O 0.752 0.951 0.146  0.13

Question: Which formula does entry 2 have?
Answer: Na2RuO3

Question: The highest E_form (uncorrected) belongs to which entry?
Answer: Na2RuO4